*one*
Computed, not measured: crystalline Fe2CoPd2 at its relaxed geometry at the PBE-GGA level of DFT.

* volume: 66.8 Å³/f.u.
* total magnetic moment: 16.38 Bohr magnetons per cell

Cell: 8.346 3.707 5.947 Å, 90.00 133.45 90.00°
Space group C2/m (No. 12)
One atom of each set of equivalent atoms:
Fe (0.099, 0.000, 0.307) (multiplicity 4)
Co (0.000, 0.500, 0.500) (multiplicity 2)
Pd (0.203, 0.500, 0.110) (multiplicity 4)

=====

*two*
Computed, not measured: crystalline Fe2CoPd2 at its relaxed geometry at the PBE-GGA level of DFT.

* volume: 65.1 Å³/f.u.
* total magnetic moment: 0.00 Bohr magnetons per cell

Cell: 5.724 5.724 3.975 Å, 90.00 90.00 90.00°
Space group P4/mbm (No. 127)
One atom of each set of equivalent atoms:
Fe (0.126, 0.374, 0.000) (multiplicity 4)
Co (0.000, 0.000, 0.000) (multiplicity 2)
Pd (0.175, 0.675, 0.500) (multiplicity 4)

=====

Which structure is most stable, and how do the rest compare? From most to least stable: *one*, *two*.

=====

*one*
Computed, not measured: crystalline Fe2CoPd at its relaxed geometry at the PBE-GGA level of DFT.

* volume: 55.6 Å³/f.u.
* total magnetic moment: 31.07 Bohr magnetons per cell

Cell: 6.622 6.622 5.074 Å, 90.00 90.00 90.00°
Space group I-42d (No. 122)
One atom of each set of equivalent atoms:
Fe (0.230, 0.250, 0.125) (multiplicity 8)
Co (0.000, 0.000, 0.000) (multiplicity 4)
Pd (0.000, 0.000, 0.500) (multiplicity 4)

=====

*two*
Computed, not measured: crystalline Fe2CoPd at its relaxed geometry at the PBE-GGA level of DFT.

* volume: 48.4 Å³/f.u.
* total magnetic moment: 1.24 Bohr magnetons per cell

Cell: 5.783 5.783 5.783 Å, 90.00 90.00 90.00°
Space group Fm-3m (No. 225)
One atom of each set of equivalent atoms:
Fe (0.250, 0.250, 0.250) (multiplicity 8)
Co (0.000, 0.000, 0.000) (multiplicity 4)
Pd (0.000, 0.000, 0.500) (multiplicity 4)

=====

*three*
Computed, not measured: crystalline Fe2CoPd at its relaxed geometry at the PBE-GGA level of DFT.

* volume: 50.8 Å³/f.u.
* total magnetic moment: 7.74 Bohr magnetons per cell

Cell: 2.737 2.737 6.783 Å, 90.00 90.00 90.00°
Space group P4/mmm (No. 123)
One atom of each set of equivalent atoms:
Fe (0.000, 0.000, 0.223) (multiplicity 2)
Co (0.500, 0.500, 0.000) (multiplicity 1)
Pd (0.500, 0.500, 0.500) (multiplicity 1)

=====

Which structure is most stable, and how do the rest compare? From most to least stable: *three*, *one*, *two*.

=====

*one*
Computed, not measured: crystalline FeCoPd2 at its relaxed geometry at the PBE-GGA level of DFT.

* volume: 52.3 Å³/f.u.
* total magnetic moment: 0.06 Bohr magnetons per cell

Cell: 5.937 5.937 5.937 Å, 90.00 90.00 90.00°
Space group Fm-3m (No. 225)
One atom of each set of equivalent atoms:
Fe (0.000, 0.000, 0.000) (multiplicity 4)
Co (0.000, 0.000, 0.500) (multiplicity 4)
Pd (0.250, 0.250, 0.250) (multiplicity 8)

=====

*two*
Computed, not measured: crystalline FeCoPd2 at its relaxed geometry at the PBE-GGA level of DFT.

* volume: 54.6 Å³/f.u.
* total magnetic moment: 5.79 Bohr magnetons per cell

Cell: 3.804 3.804 3.773 Å, 90.00 90.00 90.00°
Space group P4/mmm (No. 123)
One atom of each set of equivalent atoms:
Fe (0.000, 0.000, 0.000) (multiplicity 1)
Co (0.500, 0.500, 0.000) (multiplicity 1)
Pd (0.000, 0.500, 0.500) (multiplicity 2)

=====

Which structure is most stable, and how do the rest compare? From most to least stable: *two*, *one*.

=====

*one*
Computed, not measured: crystalline FeCoPd2 at its relaxed geometry at the PBE-GGA level of DFT.

* volume: 54.5 Å³/f.u.
* total magnetic moment: 5.55 Bohr magnetons per cell

Cell: 2.692 2.692 7.525 Å, 90.00 90.00 90.00°
Space group P4/mmm (No. 123)
One atom of each set of equivalent atoms:
Fe (0.000, 0.000, 0.000) (multiplicity 1)
Co (0.000, 0.000, 0.500) (multiplicity 1)
Pd (0.500, 0.500, 0.252) (multiplicity 2)

=====

*two*
Computed, not measured: crystalline FeCoPd2 at its relaxed geometry at the PBE-GGA level of DFT.

* volume: 55.4 Å³/f.u.
* total magnetic moment: 21.52 Bohr magnetons per cell

Cell: 6.051 6.051 6.051 Å, 90.00 90.00 90.00°
Space group F-43m (No. 216)
One atom of each set of equivalent atoms:
Fe (0.000, 0.000, 0.000) (multiplicity 4)
Co (0.250, 0.250, 0.750) (multiplicity 4)
Pd (0.000, 0.000, 0.500) (multiplicity 4)
Pd (0.250, 0.250, 0.250) (multiplicity 4)

=====

Which structure is most stable, and how do the rest compare? From most to least stable: *one*, *two*.

=====

*one*
Computed, not measured: crystalline FeCoPd at its relaxed geometry at the PBE-GGA level of DFT.

* volume: 39.0 Å³/f.u.
* total magnetic moment: 9.80 Bohr magnetons per cell

Cell: 2.905 2.905 9.252 Å, 90.00 90.00 90.00°
Space group I4mm (No. 107)
One atom of each set of equivalent atoms:
Fe (0.000, 0.000, 0.000) (multiplicity 2)
Co (0.000, 0.000, 0.633) (multiplicity 2)
Pd (0.000, 0.000, 0.319) (multiplicity 2)

=====

*two*
Computed, not measured: crystalline FeCoPd at its relaxed geometry at the PBE-GGA level of DFT.

* volume: 38.9 Å³/f.u.
* total magnetic moment: 4.86 Bohr magnetons per cell

Cell: 4.1666 4.1666 2.5870 Å, 90.00 90.00 120.00°
Space group P-6m2 (No. 187)
One atom of each set of equivalent atoms:
Fe (0.0000, 0.0000, 0.0000) (multiplicity 1)
Co (0.3333, 0.6667, 0.0000) (multiplicity 1)
Pd (0.6667, 0.3333, 0.5000) (multiplicity 1)

=====

Which structure is most stable, and how do the rest compare? From most to least stable: *one*, *two*.

=====

*one*
Computed, not measured: crystalline Fe2CoPd6 at its relaxed geometry at the PBE-GGA level of DFT.

* volume: 134.1 Å³/f.u.
* total magnetic moment: 40.67 Bohr magnetons per cell

Cell: 15.120 6.920 5.171 Å, 90.00 97.51 90.00°
Space group C2/c (No. 15)
One atom of each set of equivalent atoms:
Fe (0.228, 0.077, 0.478) (multiplicity 8)
Co (0.000, 0.288, 0.750) (multiplicity 4)
Pd (0.080, 0.037, 0.133) (multiplicity 8)
Pd (0.089, 0.381, 0.369) (multiplicity 8)
Pd (0.174, 0.282, 0.852) (multiplicity 8)

=====

*two*
Computed, not measured: crystalline Fe2CoPd6 at its relaxed geometry at the PBE-GGA level of DFT.

* volume: 131.4 Å³/f.u.
* total magnetic moment: 19.63 Bohr magnetons per cell

Cell: 6.905 13.699 2.828 Å, 90.00 100.84 90.00°
Space group C2/m (No. 12)
One atom of each set of equivalent atoms:
Fe (0.000, 0.152, 0.000) (multiplicity 4)
Co (0.000, 0.000, 0.500) (multiplicity 2)
Pd (0.176, 0.330, 0.301) (multiplicity 8)
Pd (0.179, 0.500, 0.821) (multiplicity 4)

=====

Which structure is most stable, and how do the rest compare? From most to least stable: *two*, *one*.

=====

*one*
Computed, not measured: crystalline PrFeCo4 at its relaxed geometry at the PBE-GGA level of DFT.

* volume: 87.6 Å³/f.u.
* total magnetic moment: 8.01 Bohr magnetons per cell

Cell: 5.0828 5.0828 3.9144 Å, 90.00 90.00 120.00°
Space group P-6m2 (No. 187)
One atom of each set of equivalent atoms:
Pr (0.0000, 0.0000, 0.0000) (multiplicity 1)
Fe (0.3333, 0.6667, 0.0000) (multiplicity 1)
Co (0.5013, 0.0026, 0.5000) (multiplicity 3)
Co (0.6667, 0.3333, 0.0000) (multiplicity 1)

=====

*two*
Computed, not measured: crystalline PrFeCo4 at its relaxed geometry at the PBE-GGA level of DFT.

* volume: 86.5 Å³/f.u.
* total magnetic moment: 34.76 Bohr magnetons per cell

Cell: 7.020 7.020 7.020 Å, 90.00 90.00 90.00°
Space group F-43m (No. 216)
One atom of each set of equivalent atoms:
Pr (0.000, 0.000, 0.000) (multiplicity 4)
Fe (0.250, 0.250, 0.750) (multiplicity 4)
Co (0.123, 0.123, 0.377) (multiplicity 16)

=====

Which structure is most stable, and how do the rest compare? From most to least stable: *one*, *two*.

=====

*one*
Computed, not measured: crystalline FeCo3Pt at its relaxed geometry at the PBE-GGA level of DFT.

* volume: 73.8 Å³/f.u.
* total magnetic moment: 7.57 Bohr magnetons per cell

Cell: 4.194 4.194 4.194 Å, 90.00 90.00 90.00°
Space group Pm-3m (No. 221)
One atom of each set of equivalent atoms:
Fe (0.000, 0.000, 0.000) (multiplicity 1)
Co (0.000, 0.000, 0.500) (multiplicity 3)
Pt (0.500, 0.500, 0.500) (multiplicity 1)

=====

*two*
Computed, not measured: crystalline FeCo3Pt at its relaxed geometry at the PBE-GGA level of DFT.

* volume: 61.1 Å³/f.u.
* total magnetic moment: 16.38 Bohr magnetons per cell

Cell: 5.755 3.657 5.811 Å, 90.00 90.93 90.00°
Space group P2_1/m (No. 11)
One atom of each set of equivalent atoms:
Fe (0.173, 0.250, 0.048) (multiplicity 2)
Co (0.269, 0.750, 0.752) (multiplicity 2)
Co (0.364, 0.250, 0.457) (multiplicity 2)
Co (0.456, 0.750, 0.150) (multiplicity 2)
Pt (0.053, 0.750, 0.337) (multiplicity 2)

=====

Which structure is most stable, and how do the rest compare? From most to least stable: *two*, *one*.

=====

*one*
Computed, not measured: crystalline Fe4CoPt at its relaxed geometry at the PBE-GGA level of DFT.

* volume: 75.5 Å³/f.u.
* total magnetic moment: 25.82 Bohr magnetons per cell

Cell: 3.765 10.838 3.702 Å, 90.00 90.00 90.00°
Space group Cmmm (No. 65)
One atom of each set of equivalent atoms:
Fe (0.000, 0.167, 0.000) (multiplicity 4)
Fe (0.000, 0.332, 0.500) (multiplicity 4)
Co (0.000, 0.000, 0.500) (multiplicity 2)
Pt (0.000, 0.500, 0.000) (multiplicity 2)

=====

*two*
Computed, not measured: crystalline Fe4CoPt at its relaxed geometry at the PBE-GGA level of DFT.

* volume: 73.4 Å³/f.u.
* total magnetic moment: 43.02 Bohr magnetons per cell

Cell: 6.646 6.646 6.646 Å, 90.00 90.00 90.00°
Space group F-43m (No. 216)
One atom of each set of equivalent atoms:
Fe (0.124, 0.124, 0.376) (multiplicity 16)
Co (0.250, 0.250, 0.750) (multiplicity 4)
Pt (0.000, 0.000, 0.000) (multiplicity 4)

=====

Which structure is most stable, and how do the rest compare? From most to least stable: *one*, *two*.

=====

*one*
Computed, not measured: crystalline FeCoPtRh at its relaxed geometry at the PBE-GGA level of DFT.

* volume: 53.8 Å³/f.u.
* total magnetic moment: 11.36 Bohr magnetons per cell

Cell: 3.815 3.815 7.392 Å, 90.00 90.00 90.00°
Space group I-4m2 (No. 119)
One atom of each set of equivalent atoms:
Fe (0.000, 0.000, 0.000) (multiplicity 2)
Co (0.000, 0.000, 0.500) (multiplicity 2)
Pt (0.000, 0.500, 0.750) (multiplicity 2)
Rh (0.000, 0.500, 0.250) (multiplicity 2)

=====

*two*
Computed, not measured: crystalline FeCoPtRh at its relaxed geometry at the PBE-GGA level of DFT.

* volume: 54.6 Å³/f.u.
* total magnetic moment: 25.98 Bohr magnetons per cell

Cell: 6.023 6.023 6.023 Å, 90.00 90.00 90.00°
Space group F-43m (No. 216)
One atom of each set of equivalent atoms:
Fe (0.000, 0.000, 0.000) (multiplicity 4)
Co (0.000, 0.000, 0.500) (multiplicity 4)
Pt (0.250, 0.250, 0.750) (multiplicity 4)
Rh (0.250, 0.250, 0.250) (multiplicity 4)

=====

Which structure is most stable, and how do the rest compare? From most to least stable: *one*, *two*.

=====

*one*
Computed, not measured: crystalline RbFe2Co at its relaxed geometry at the PBE-GGA level of DFT.

* volume: 60.2 Å³/f.u.
* total magnetic moment: 2.96 Bohr magnetons per cell

Cell: 6.223 6.223 6.223 Å, 90.00 90.00 90.00°
Space group Fm-3m (No. 225)
One atom of each set of equivalent atoms:
Rb (0.000, 0.000, 0.000) (multiplicity 4)
Fe (0.250, 0.250, 0.250) (multiplicity 8)
Co (0.000, 0.000, 0.500) (multiplicity 4)

=====

*two*
Computed, not measured: crystalline RbFe2Co at its relaxed geometry at the PBE-GGA level of DFT.

* volume: 100.8 Å³/f.u.
* total magnetic moment: 30.29 Bohr magnetons per cell

Cell: 5.085 5.085 15.591 Å, 90.00 90.00 90.00°
Space group I4_1/amd (No. 141, origin choice 2)
One atom of each set of equivalent atoms:
Rb (0.000, 0.250, 0.375) (multiplicity 4)
Fe (0.000, 0.000, 0.000) (multiplicity 8)
Co (0.000, 0.250, 0.875) (multiplicity 4)

=====

Which structure is most stable, and how do the rest compare? From most to least stable: *two*, *one*.

=====

*one*
Computed, not measured: crystalline FeCo2Re at its relaxed geometry at the PBE-GGA level of DFT.

* volume: 49.4 Å³/f.u.
* total magnetic moment: 14.42 Bohr magnetons per cell

Cell: 2.6299 2.6299 24.7291 Å, 90.00 90.00 120.00°
Space group R-3m (No. 166, hexagonal axes)
One atom of each set of equivalent atoms:
Fe (0.0000, 0.0000, 0.0000) (multiplicity 3)
Co (0.0000, 0.0000, 0.2530) (multiplicity 6)
Re (0.0000, 0.0000, 0.5000) (multiplicity 3)

=====

*two*
Computed, not measured: crystalline FeCo2Re at its relaxed geometry at the PBE-GGA level of DFT.

* volume: 47.5 Å³/f.u.
* total magnetic moment: 6.08 Bohr magnetons per cell

Cell: 5.136 7.150 2.589 Å, 90.00 90.00 90.00°
Space group Cmmm (No. 65)
One atom of each set of equivalent atoms:
Fe (0.000, 0.000, 0.000) (multiplicity 2)
Co (0.250, 0.250, 0.500) (multiplicity 4)
Re (0.000, 0.500, 0.000) (multiplicity 2)

=====

Which structure is most stable, and how do the rest compare? From most to least stable: *two*, *one*.